Compound: KNdMnO3
Source: Alexandria via LeMat-Bulk
Functional: PBE with a Hubbard U
Structure: optimized geometry

Values from the calculation:
E = -6.88 eV per atom
M_tot = 10.0 Bohr magnetons per cell
SG = No. 11

CIF file:
```
data_KNdMnO3
_cell_length_a 3.6667
_cell_length_b 7.4573
_cell_length_c 9.8821
_cell_angle_alpha 110.37
_cell_angle_beta 90.00
_cell_angle_gamma 90.00
_symmetry_space_group_name_H-M 'P 1'
_symmetry_Int_Tables_number 1
loop_
_symmetry_equiv_pos_as_xyz
'x,y,z'
loop_
_atom_site_label
_atom_site_type_symbol
_atom_site_fract_x
_atom_site_fract_y
_atom_site_fract_z
K1 K 0.2500 0.1841 0.1443
O1 O 0.7500 0.9018 0.1618
O2 O 0.7500 0.1488 0.5973
Nd1 Nd 0.2500 0.6699 0.1471
O3 O 0.2500 0.5468 0.8901
K2 K 0.7500 0.8159 0.8557
O4 O 0.7500 0.4532 0.1099
Mn1 Mn 0.2500 0.0107 0.6187
Mn2 Mn 0.7500 0.9893 0.3813
O5 O 0.2500 0.8512 0.4027
O6 O 0.2500 0.0982 0.8382
Nd2 Nd 0.7500 0.3301 0.8529
```